# 1
First-principles (PBE-GGA) data for a geometry-optimized NaScBeS3 structure, as listed in Alexandria via LeMat-Bulk.

Geometry as CIF:
```
data_NaScBeS3
_chemical_formula_sum 'Na2 Sc2 Be2 S6'
_cell_length_a 7.9813
_cell_length_b 3.6412
_cell_length_c 8.6917
_cell_angle_alpha 90.00
_cell_angle_beta 106.38
_cell_angle_gamma 90.00
_symmetry_space_group_name_H-M 'P 1 21/m 1'
_symmetry_Int_Tables_number 11
_symmetry_space_group_name_Hall '-P 2yb'
loop_
_atom_site_label
_atom_site_type_symbol
_atom_site_fract_x
_atom_site_fract_y
_atom_site_fract_z
_atom_site_occupancy
Na1 Na 0.1951 0.2500 0.2175 1
Sc1 Sc 0.3331 0.7500 0.8530 1
Be1 Be 0.0791 0.2500 0.5993 1
S1 S 0.1031 0.2500 0.8434 1
S2 S 0.1917 0.7500 0.5301 1
S3 S 0.4458 0.7500 0.1596 1
```

Calculated values
For the total energy, the calculation gives -5.42 eV/atom. As for the formation energy without anion corrections: -8.75 eV per formula unit.

# 2
First-principles (PBE-GGA) data for a geometry-optimized NaBe2SiS structure, as listed in Alexandria via LeMat-Bulk.

Geometry as CIF:
```
data_NaBe2SiS
_chemical_formula_sum 'Na1 Be2 Si1 S1'
_cell_length_a 4.1618
_cell_length_b 4.1618
_cell_length_c 5.3262
_cell_angle_alpha 90.00
_cell_angle_beta 90.00
_cell_angle_gamma 90.00
_symmetry_space_group_name_H-M 'P 4/m m m'
_symmetry_Int_Tables_number 123
_symmetry_space_group_name_Hall '-P 4 2'
loop_
_atom_site_label
_atom_site_type_symbol
_atom_site_fract_x
_atom_site_fract_y
_atom_site_fract_z
_atom_site_occupancy
Na1 Na 0.0000 0.0000 0.0000 1
Be1 Be 0.0000 0.5000 0.5000 1
Si1 Si 0.5000 0.5000 0.5000 1
S1 S 0.5000 0.5000 0.0000 1
```

Calculated values
For the total energy, the calculation gives -3.37 eV/atom. As for the formation energy without anion corrections: 1.47 eV per formula unit.

# 3
First-principles (PBE-GGA) data for a geometry-optimized Na4BeSn3S8 structure, as listed in Alexandria via LeMat-Bulk.

Geometry as CIF:
```
data_Na4BeSn3S8
_chemical_formula_sum 'Na8 Be2 Sn6 S16'
_cell_length_a 13.0932
_cell_length_b 7.5447
_cell_length_c 8.0436
_cell_angle_alpha 90.00
_cell_angle_beta 122.90
_cell_angle_gamma 90.00
_symmetry_space_group_name_H-M 'C 1 2/m 1'
_symmetry_Int_Tables_number 12
_symmetry_space_group_name_Hall '-C 2y'
loop_
_atom_site_label
_atom_site_type_symbol
_atom_site_fract_x
_atom_site_fract_y
_atom_site_fract_z
_atom_site_occupancy
Na1 Na 0.0000 0.0000 0.0000 1
Na2 Na 0.0000 0.5000 0.0000 1
Na3 Na 0.2500 0.2500 0.0000 1
Be1 Be 0.0000 0.0000 0.5000 1
Sn1 Sn 0.0000 0.5000 0.5000 1
Sn2 Sn 0.2500 0.2500 0.5000 1
S1 S 0.0075 0.2296 0.2924 1
S2 S 0.2260 0.0000 0.7107 1
S3 S 0.2438 0.5000 0.7305 1
```

Calculated values
For the total energy, the calculation gives -4.08 eV/atom. As for the formation energy without anion corrections: -11.20 eV per formula unit.

# 4
First-principles (PBE-GGA) data for a geometry-optimized NaSrBeS2 structure, as listed in Alexandria via LeMat-Bulk.

Geometry as CIF:
```
data_NaSrBeS2
_chemical_formula_sum 'Na2 Sr2 Be2 S4'
_cell_length_a 5.6519
_cell_length_b 6.1717
_cell_length_c 8.0251
_cell_angle_alpha 90.00
_cell_angle_beta 93.89
_cell_angle_gamma 90.00
_symmetry_space_group_name_H-M 'P 1 2/c 1'
_symmetry_Int_Tables_number 13
_symmetry_space_group_name_Hall '-P 2yc'
loop_
_atom_site_label
_atom_site_type_symbol
_atom_site_fract_x
_atom_site_fract_y
_atom_site_fract_z
_atom_site_occupancy
Na1 Na 0.0000 0.0109 0.2500 1
Sr1 Sr 0.5000 0.4622 0.7500 1
Be1 Be 0.5000 0.0000 0.0000 1
S1 S 0.2657 0.2297 0.0114 1
```

Calculated values
For the total energy, the calculation gives -3.92 eV/atom. As for the formation energy without anion corrections: -4.62 eV per formula unit.

# 5
First-principles (PBE-GGA) data for a geometry-optimized Na2BeTcS structure, as listed in Alexandria via LeMat-Bulk.

Geometry as CIF:
```
data_Na2BeTcS
_chemical_formula_sum 'Na2 Be1 Tc1 S1'
_cell_length_a 4.8943
_cell_length_b 4.8943
_cell_length_c 4.3012
_cell_angle_alpha 90.00
_cell_angle_beta 90.00
_cell_angle_gamma 90.00
_symmetry_space_group_name_H-M 'P 4/m m m'
_symmetry_Int_Tables_number 123
_symmetry_space_group_name_Hall '-P 4 2'
loop_
_atom_site_label
_atom_site_type_symbol
_atom_site_fract_x
_atom_site_fract_y
_atom_site_fract_z
_atom_site_occupancy
Na1 Na 0.0000 0.5000 0.0000 1
Be1 Be 0.0000 0.0000 0.0000 1
Tc1 Tc 0.0000 0.0000 0.5000 1
S1 S 0.5000 0.5000 0.5000 1
```

Calculated values
For the total energy, the calculation gives -3.42 eV/atom. As for the formation energy without anion corrections: 3.76 eV per formula unit.

# 6
First-principles (PBE-GGA) data for a geometry-optimized Na2TiBeS4 structure, as listed in Alexandria via LeMat-Bulk.

Geometry as CIF:
```
data_Na2TiBeS4
_chemical_formula_sum 'Na4 Ti2 Be2 S8'
_cell_length_a 6.1242
_cell_length_b 6.1242
_cell_length_c 9.6045
_cell_angle_alpha 90.00
_cell_angle_beta 90.00
_cell_angle_gamma 90.00
_symmetry_space_group_name_H-M 'I -4'
_symmetry_Int_Tables_number 82
_symmetry_space_group_name_Hall 'I -4'
loop_
_atom_site_label
_atom_site_type_symbol
_atom_site_fract_x
_atom_site_fract_y
_atom_site_fract_z
_atom_site_occupancy
Na1 Na 0.0000 0.0000 0.0000 1
Na2 Na 0.0000 0.5000 0.2500 1
Ti1 Ti 0.0000 0.5000 0.7500 1
Be1 Be 0.0000 0.0000 0.5000 1
S1 S 0.1682 0.7619 0.6204 1
```

Calculated values
For the total energy, the calculation gives -5.00 eV/atom. As for the formation energy without anion corrections: -9.22 eV per formula unit.

# 7
First-principles (PBE-GGA) data for a geometry-optimized Na4Zr3BeS8 structure, as listed in Alexandria via LeMat-Bulk.

Geometry as CIF:
```
data_Na4Zr3BeS8
_chemical_formula_sum 'Na12 Zr9 Be3 S24'
_cell_length_a 7.3527
_cell_length_b 7.3527
_cell_length_c 20.1316
_cell_angle_alpha 90.00
_cell_angle_beta 90.00
_cell_angle_gamma 120.00
_symmetry_space_group_name_H-M 'R -3 m'
_symmetry_Int_Tables_number 166
_symmetry_space_group_name_Hall '-R 3 2"'
loop_
_atom_site_label
_atom_site_type_symbol
_atom_site_fract_x
_atom_site_fract_y
_atom_site_fract_z
_atom_site_occupancy
Na1 Na 0.0000 0.0000 0.0000 1
Na2 Na 0.0000 0.5000 0.0000 1
Zr1 Zr 0.0000 0.5000 0.5000 1
Be1 Be 0.0000 0.0000 0.5000 1
S1 S 0.0000 0.0000 0.2427 1
S2 S 0.0177 0.5089 0.2371 1
```

Calculated values
For the total energy, the calculation gives -5.55 eV/atom. As for the formation energy without anion corrections: -21.09 eV per formula unit.

# 8
First-principles (PBE-GGA) data for a geometry-optimized Na2BeSb structure, as listed in Alexandria via LeMat-Bulk.

Geometry as CIF:
```
data_Na2BeSb
_chemical_formula_sum 'Na8 Be4 Sb4'
_cell_length_a 11.2296
_cell_length_b 11.2296
_cell_length_c 4.4655
_cell_angle_alpha 90.00
_cell_angle_beta 90.00
_cell_angle_gamma 90.00
_symmetry_space_group_name_H-M 'I -4 2 d'
_symmetry_Int_Tables_number 122
_symmetry_space_group_name_Hall 'I -4 2bw'
loop_
_atom_site_label
_atom_site_type_symbol
_atom_site_fract_x
_atom_site_fract_y
_atom_site_fract_z
_atom_site_occupancy
Na1 Na 0.0402 0.2500 0.1250 1
Be1 Be 0.0000 0.0000 0.0000 1
Sb1 Sb 0.0000 0.0000 0.5000 1
```

Calculated values
For the total energy, the calculation gives -2.41 eV/atom. As for the formation energy without anion corrections: 0.85 eV per formula unit. The offset from the most stable computed form comes out at 0 meV per atom.

Volume (Å³ per atom)
20.194; 18.450; 20.848; 27.928; 20.606; 22.514; 19.638; 35.195
Ρ (g/cm3)
2.4; 1.8; 3.6; 2.2; 3.0; 2.1; 3.3; 2.1